# 1
ScCo2NiH8 after structural relaxation. Source: Alexandria, functional GGA-PBE.

abc: 4.3740 4.3740 5.4509
angles: 66.35 66.35 60.00
Closest atoms and distances in Å follow each position.
Atoms (fractional coordinates):
1 H 0.3677 0.6836 0.8488  2 Co 1.62-1.80, 1 Ni 1.68
2 H 0.6836 0.0998 0.8488  2 Co 1.62-1.80, 1 Ni 1.68
3 Co 0.2962 0.2962 0.1113  4 H 1.56-1.62
4 H 0.1883 0.1883 0.4352  1 Co 1.56
5 Co 0.7038 0.7038 0.8887  4 H 1.56-1.62
6 H 0.6323 0.3164 0.1512  2 Co 1.62-1.80, 1 Ni 1.68
7 H 0.9002 0.6323 0.1512  2 Co 1.62-1.80, 1 Ni 1.68
8 H 0.8117 0.8117 0.5648  1 Co 1.56
9 Sc 0.5000 0.5000 0.5000  6 H 2.11
10 Ni 0.0000 0.0000 0.0000  6 H 1.68
11 H 0.0998 0.3677 0.8488  2 Co 1.62-1.80, 1 Ni 1.68
12 H 0.3164 0.9002 0.1512  2 Co 1.62-1.80, 1 Ni 1.68

Properties
space group: R-3
total moment: 0.000 μB per atom
raw total energy: -4.565 eV per atom

***

# 2
Co2NiHSe after structural relaxation. Source: Alexandria, functional GGA-PBE.

abc: 4.4763 3.0491 4.4763
angles: 90.00 90.00 90.00
Closest atoms and distances in Å follow each position.
Atoms (fractional coordinates):
1 Co 0.5000 0.0000 0.0000  2 Ni 2.24
2 Co 0.0000 0.0000 0.5000  2 Ni 2.24
3 Se 0.5000 0.5000 0.5000  8 Co 2.71
4 H 0.0000 0.5000 0.0000  2 Ni 1.52
5 Ni 0.0000 0.0000 0.0000  2 H 1.52

Properties
space group: P4/mmm
polymorph energy (0 for the lowest one): 481.7 meV per atom
total moment: 0.712 μB per atom
raw total energy: -4.748 eV per atom

***

# 3
Co2NiHSe after structural relaxation. Source: Alexandria, functional GGA-PBE.

abc: 3.7694 3.5620 3.7694
angles: 90.00 90.00 90.00
Closest atoms and distances in Å follow each position.
Atoms (fractional coordinates):
1 Co 0.0000 0.0000 0.5000  2 H 1.88
2 Se 0.5000 0.5000 0.5000  8 Co 2.59, 4 Ni 2.67
3 Co 0.5000 0.0000 0.0000  2 H 1.88
4 Ni 0.0000 0.5000 0.0000  2 H 1.78
5 H 0.0000 0.0000 0.0000  2 Ni 1.78, 4 Co 1.88

Properties
space group: P4/mmm
polymorph energy (0 for the lowest one): 0.0 meV per atom
total moment: 0.619 μB per atom
raw total energy: -5.229 eV per atom

***

# 4
CoSiNi2H after structural relaxation. Source: Alexandria, functional GGA-PBE.

abc: 3.5329 3.5329 3.6001
angles: 90.00 90.00 90.00
Closest atoms and distances in Å follow each position.
Atoms (fractional coordinates):
1 Co 0.0000 0.0000 0.5000  2 H 1.80
2 Ni 0.5000 0.0000 0.0000  2 H 1.77
3 Ni 0.0000 0.5000 0.0000  2 H 1.77
4 Si 0.5000 0.5000 0.5000  4 Co 2.50, 8 Ni 2.52
5 H 0.0000 0.0000 0.0000  4 Ni 1.77, 2 Co 1.80

Properties
space group: P4/mmm
total moment: 0.000 μB per atom
raw total energy: -5.814 eV per atom

***

# 5
SmCo2NiH8 after structural relaxation. Source: Alexandria, functional GGA-PBE.

abc: 4.4122 4.4122 5.8555
angles: 67.87 67.87 60.00
Closest atoms and distances in Å follow each position.
Atoms (fractional coordinates):
1 H 0.0932 0.3613 0.8668  2 Co 1.63-1.79, 1 Ni 1.67
2 H 0.9068 0.6387 0.1332  2 Co 1.63-1.79, 1 Ni 1.67
3 Ni 0.0000 0.0000 0.0000  6 H 1.67
4 H 0.3214 0.9068 0.1332  2 Co 1.63-1.79, 1 Ni 1.67
5 Co 0.2995 0.2995 0.1016  7 H 1.61-1.79
6 H 0.3613 0.6786 0.8668  2 Co 1.63-1.79, 1 Ni 1.67
7 H 0.6786 0.0932 0.8668  2 Co 1.63-1.79, 1 Ni 1.67
8 H 0.6387 0.3214 0.1332  2 Co 1.63-1.79, 1 Ni 1.67
9 Sm 0.5000 0.5000 0.5000  12 H 2.33-2.60
10 Co 0.7005 0.7005 0.8984  7 H 1.61-1.79
11 H 0.8020 0.8020 0.5939  1 Co 1.61
12 H 0.1980 0.1980 0.4061  1 Co 1.61

Properties
space group: R-3
total moment: 0.000 μB per atom
raw total energy: -4.509 eV per atom

***

# 6
SmCoNiH6 after structural relaxation. Source: Alexandria, functional GGA-PBE.

abc: 4.4255 4.4256 4.1582
angles: 90.00 90.00 60.00
Closest atoms and distances in Å follow each position.
Atoms (fractional coordinates):
1 Sm 0.0000 0.0000 0.0000  12 H 2.45
2 Co 0.3333 0.3333 0.5000  6 H 1.61
3 H 0.0096 0.4949 0.2525  1 Co 1.61, 1 Ni 1.67
4 H 0.4949 0.4955 0.2525  1 Co 1.61, 1 Ni 1.67
5 H 0.0096 0.4955 0.7475  1 Co 1.61, 1 Ni 1.67
6 H 0.4949 0.0096 0.7475  1 Co 1.61, 1 Ni 1.67
7 H 0.4955 0.4949 0.7475  1 Co 1.61, 1 Ni 1.67
8 Ni 0.6666 0.6667 0.5000  6 H 1.67
9 H 0.4955 0.0096 0.2525  1 Co 1.61, 1 Ni 1.67

Properties
space group: P-6m2
total moment: 0.046 μB per atom
raw total energy: -4.548 eV per atom